## MnSi2Ni (GGA-PBE)

Data for MnSi2Ni after structural relaxation.

Unit cell a=2.606 b=4.408 c=4.061 alpha=90.00 beta=90.00 gamma=90.00
Space group Pmm2 (No. 25)
Symmetry-distinct sites (fractional):
Mn (0.000, 0.000, 0.000)
Si (0.000, 0.500, 0.262)
Si (0.500, 0.000, 0.501)
Ni (0.500, 0.500, 0.764)

Results
Raw formation energy = -310.7 meV per atom
V = 11.7 Å³ per atom

## CdGe3Os (GGA-PBE)

Data for CdGe3Os after structural relaxation.

Unit cell a=4.847 b=4.847 c=4.847 alpha=90.00 beta=90.00 gamma=90.00
Space group Pm-3m (No. 221)
Symmetry-distinct sites (fractional):
Cd (0.000, 0.000, 0.000)
Ge (0.000, 0.500, 0.500)
Os (0.500, 0.500, 0.500)

Results
Polymorph energy (0 for the lowest one) = 0.000 eV/atom
DFT formation energy = 0.379 eV per atom
V = 22.8 Å³ per atom

## HfScGa (GGA-PBE)

Data for HfScGa after structural relaxation.

Unit cell a=3.196 b=3.196 c=11.907 alpha=90.00 beta=90.00 gamma=90.00
Space group I4mm (No. 107)
Symmetry-distinct sites (fractional):
Hf (0.000, 0.000, 0.000)
Sc (0.000, 0.000, 0.684)
Ga (0.000, 0.000, 0.343)

Results
Polymorph energy (0 for the lowest one) = 0.003 eV/atom
DFT formation energy = -0.360 eV per atom
V = 20.3 Å³ per atom